[1]
The following is a DFT calculation (GGA-PBEsol) of an optimized crystal structure of Ba2SbPt.

Lattice parameters (Å, degrees): 6.535 7.117 7.117 77.83 62.67 62.67
Atoms (fractional coordinates):
1 Sb 0.500 0.000 0.000
2 Sb 0.250 0.500 0.500
3 Ba 0.875 0.052 0.448
4 Ba 0.375 0.948 0.552
5 Ba 0.677 0.448 0.948
6 Ba 0.073 0.552 0.052
7 Pt 0.000 0.000 0.000
8 Pt 0.750 0.500 0.500

Summary:
SG = No. 122
Energy relative to the elements, uncorrected = -0.508 eV/atom

[2]
The following is a DFT calculation (GGA-PBEsol) of an optimized crystal structure of BaScPt2.

Lattice parameters (Å, degrees): 4.537 5.113 5.113 65.91 63.66 63.66
Atoms (fractional coordinates):
1 Ba 0.000 0.500 0.500
2 Pt 0.207 0.793 0.793
3 Pt 0.793 0.207 0.207
4 Sc 0.500 0.000 0.000

Summary:
Polymorph energy (0 for the lowest one) = 0.0 meV/atom
SG = No. 71
Formation enthalpy at 0 K = -0.528 eV per atom

[3]
The following is a DFT calculation (GGA-PBEsol) of an optimized crystal structure of BaScPt2.

Lattice parameters (Å, degrees): 4.213 4.213 5.644 111.92 111.92 90.00
Atoms (fractional coordinates):
1 Ba 0.250 0.750 0.500
2 Pt 0.000 0.000 0.000
3 Pt 0.750 0.250 0.500
4 Sc 0.500 0.500 0.000

Summary:
Polymorph energy (0 for the lowest one) = 178.8 meV/atom
SG = No. 119
Formation enthalpy at 0 K = -0.350 eV per atom

[4]
The following is a DFT calculation (GGA-PBEsol) of an optimized crystal structure of BaSc2Pt.

Lattice parameters (Å, degrees): 4.340 4.340 5.936 111.44 111.44 90.00
Atoms (fractional coordinates):
1 Ba 0.500 0.500 0.000
2 Pt 0.000 0.000 0.000
3 Sc 0.750 0.250 0.500
4 Sc 0.250 0.750 0.500

Summary:
Polymorph energy (0 for the lowest one) = 456.0 meV/atom
SG = No. 139
Formation enthalpy at 0 K = 0.038 eV per atom

[5]
The following is a DFT calculation (GGA-PBEsol) of an optimized crystal structure of BaSc2Pt2.

Lattice parameters (Å, degrees): 4.513 4.513 6.604 109.98 109.98 90.00
Atoms (fractional coordinates):
1 Sc 0.250 0.750 0.500
2 Sc 0.750 0.250 0.500
3 Ba 0.000 0.000 0.000
4 Pt 0.379 0.379 0.758
5 Pt 0.621 0.621 0.242

Summary:
SG = No. 139
Formation enthalpy at 0 K = -0.889 eV per atom

[6]
The following is a DFT calculation (GGA-PBEsol) of an optimized crystal structure of BaSc2Pt.

Lattice parameters (Å, degrees): 4.974 4.974 4.974 60.00 60.00 60.00
Atoms (fractional coordinates):
1 Ba 0.000 0.000 0.000
2 Pt 0.500 0.500 0.500
3 Sc 0.250 0.250 0.250
4 Sc 0.750 0.750 0.750

Summary:
Polymorph energy (0 for the lowest one) = 274.4 meV/atom
SG = No. 225
Formation enthalpy at 0 K = -0.144 eV per atom

[7]
The following is a DFT calculation (GGA-PBEsol) of an optimized crystal structure of BaSc2Pt.

Lattice parameters (Å, degrees): 3.840 4.976 4.938 90.00 90.00 90.00
Atoms (fractional coordinates):
1 Ba 0.500 0.000 0.500
2 Pt 0.000 0.500 0.500
3 Sc 0.000 0.000 0.000
4 Sc 0.500 0.500 0.000

Summary:
Polymorph energy (0 for the lowest one) = 384.7 meV/atom
SG = No. 47
Formation enthalpy at 0 K = -0.033 eV per atom

[8]
The following is a DFT calculation (GGA-PBEsol) of an optimized crystal structure of BaSc3Pt.

Lattice parameters (Å, degrees): 5.039 5.039 5.039 90.00 90.00 90.00
Atoms (fractional coordinates):
1 Sc 0.000 0.500 0.000
2 Sc 0.000 0.000 0.500
3 Sc 0.500 0.000 0.000
4 Ba 0.000 0.000 0.000
5 Pt 0.500 0.500 0.500

Summary:
SG = No. 221
Formation enthalpy at 0 K = 1.294 eV per atom

[9]
The following is a DFT calculation (GGA-PBEsol) of an optimized crystal structure of BaSc2Pt.

Lattice parameters (Å, degrees): 4.263 4.263 7.736 74.01 74.01 60.00
Atoms (fractional coordinates):
1 Ba 0.500 0.500 0.500
2 Pt 0.000 0.000 0.000
3 Sc 0.288 0.288 0.136
4 Sc 0.712 0.712 0.864

Summary:
Polymorph energy (0 for the lowest one) = 0.0 meV/atom
SG = No. 166
Formation enthalpy at 0 K = -0.418 eV per atom

[10]
The following is a DFT calculation (GGA-PBEsol) of an optimized crystal structure of BaSc2PtW.

Lattice parameters (Å, degrees): 5.044 5.045 5.045 90.00 90.00 90.00
Atoms (fractional coordinates):
1 Sc 0.000 0.000 0.500
2 Sc 0.000 0.500 0.000
3 W 0.500 0.500 0.500
4 Pt 0.500 0.000 0.000
5 Ba 0.000 0.000 0.000

Summary:
SG = No. 123
Formation enthalpy at 0 K = 2.176 eV per atom

[11]
The following is a DFT calculation (GGA-PBEsol) of an optimized crystal structure of BaSi2Pt.

Lattice parameters (Å, degrees): 4.116 4.116 6.583 71.78 71.78 60.00
Atoms (fractional coordinates):
1 Si 0.036 0.036 0.891
2 Si 0.292 0.292 0.123
3 Ba 0.493 0.493 0.522
4 Pt 0.673 0.673 0.982

Summary:
SG = No. 160
Energy relative to the elements, uncorrected = -0.688 eV/atom

[12]
The following is a DFT calculation (GGA-PBEsol) of an optimized crystal structure of Ba2SiPt.

Lattice parameters (Å, degrees): 3.805 5.490 5.490 96.07 90.00 90.00
Atoms (fractional coordinates):
1 Ba 0.000 0.500 0.000
2 Ba 0.000 0.000 0.500
3 Pt 0.500 0.000 0.000
4 Si 0.500 0.500 0.500

Summary:
SG = No. 65
Energy relative to the elements, uncorrected = -0.248 eV/atom

[13]
The following is a DFT calculation (GGA-PBEsol) of an optimized crystal structure of BaSi2Pt.

Lattice parameters (Å, degrees): 4.142 4.781 5.070 94.85 90.00 90.00
Atoms (fractional coordinates):
1 Ba 0.500 0.000 0.500
2 Pt 0.500 0.500 0.000
3 Si 0.000 0.243 0.028
4 Si 0.000 0.757 0.972

Summary:
SG = No. 10
Energy relative to the elements, uncorrected = -0.627 eV/atom

[14]
The following is a DFT calculation (GGA-PBEsol) of an optimized crystal structure of BaSiPt.

Lattice parameters (Å, degrees): 6.627 6.627 6.627 90.00 90.00 90.00
Atoms (fractional coordinates):
1 Si 0.346 0.654 0.154
2 Si 0.654 0.154 0.346
3 Si 0.154 0.346 0.654
4 Si 0.846 0.846 0.846
5 Ba 0.134 0.134 0.134
6 Ba 0.866 0.634 0.366
7 Ba 0.366 0.866 0.634
8 Ba 0.634 0.366 0.866
9 Pt 0.593 0.907 0.093
10 Pt 0.407 0.407 0.407
11 Pt 0.907 0.093 0.593
12 Pt 0.093 0.593 0.907

Summary:
SG = No. 198
Energy relative to the elements, uncorrected = -0.956 eV/atom

no.,magnetic moment (μB per formula unit)
1,0.00
2,0.00
3,0.00
4,1.32
5,0.00
6,0.00
7,0.00
8,0.00
9,0.00
10,2.82
11,0.00
12,0.00
13,0.00
14,0.00